(1)
The following is a DFT calculation (PBE-GGA) of a geometry-optimized Cs2TiBi structure.

Summary:
Formation energy (eV per atom): 0.67
Crystal system: tetragonal
Total energy (eV per cell): -43.26

Lattice parameters (Å, degrees): 4.7817 4.7817 27.5621 90.00 90.00 90.00
Space group I-42d (No. 122)
Asymmetric unit:
Cs 0.2485 0.2500 0.1250
Ti 0.0000 0.0000 0.0000
Bi 0.0000 0.0000 0.5000

***

(2)
The following is a DFT calculation (PBE-GGA) of a geometry-optimized Cs2TiBi2 structure.

Summary:
Formation energy (eV per atom): -0.13
Crystal system: orthorhombic
Total energy (eV per cell): -36.01

Lattice parameters (Å, degrees): 3.7669 9.5875 12.0807 90.00 90.00 90.00
Space group Immm (No. 71)
Asymmetric unit:
Cs 0.0000 0.0000 0.1930
Ti 0.0000 0.5000 0.0000
Bi 0.0000 0.2256 0.5000

***

Copy entry 1 word for word.
The following is a DFT calculation (PBE-GGA) of a geometry-optimized Cs2TiBi structure.

Summary:
Formation energy (eV per atom): 0.67
Crystal system: tetragonal
Total energy (eV per cell): -43.26

Lattice parameters (Å, degrees): 4.7817 4.7817 27.5621 90.00 90.00 90.00
Space group I-42d (No. 122)
Asymmetric unit:
Cs 0.2485 0.2500 0.1250
Ti 0.0000 0.0000 0.0000
Bi 0.0000 0.0000 0.5000

***

total energy of number 1 (Cs2TiBi)? -43.26 eV per cell

***

What did the second record say?
The following is a DFT calculation (PBE-GGA) of a geometry-optimized Cs2TiBi2 structure.

Summary:
Formation energy (eV per atom): -0.13
Crystal system: orthorhombic
Total energy (eV per cell): -36.01

Lattice parameters (Å, degrees): 3.7669 9.5875 12.0807 90.00 90.00 90.00
Space group Immm (No. 71)
Asymmetric unit:
Cs 0.0000 0.0000 0.1930
Ti 0.0000 0.5000 0.0000
Bi 0.0000 0.2256 0.5000